# 1
Density functional theory data (PBE) for a relaxed structure of NdMg3.

The space group is Cmcm (No. 63) and the conventional cell measures 6.886, 11.675 and 5.295 Å, with angles of 90.00, 90.00 and 90.00 degrees. The distinct sites, in fractional coordinates, are Nd at (0.000, 0.086, 0.250), Mg at (0.000, 0.412, 0.750) and Mg at (0.247, 0.333, 0.250).

The calculation puts the magnetic moment at 0.001 μB per atom.

# 2
Density functional theory data (PBE) for a relaxed structure of Tb4PBr2.

The space group is Cmmm (No. 65) and the conventional cell measures 7.984, 11.464 and 4.046 Å, with angles of 90.00, 90.00 and 90.00 degrees. The distinct sites, in fractional coordinates, are Tb at (0.000, 0.237, 0.000), Tb at (0.243, 0.000, 0.500), P at (0.000, 0.000, 0.000) and Br at (0.250, 0.250, 0.500).

The calculation puts the magnetic moment at 0.002 μB per atom.

# 3
Density functional theory data (PBE) for a relaxed structure of Ba2LiOsSe6.

The space group is I4/mmm (No. 139) and the conventional cell measures 7.102, 7.102 and 10.060 Å, with angles of 90.00, 90.00 and 90.00 degrees. The distinct sites, in fractional coordinates, are Ba at (0.000, 0.500, 0.250), Li at (0.000, 0.000, 0.000), Os at (0.000, 0.000, 0.500), Se at (0.000, 0.000, 0.252) and Se at (0.248, 0.248, 0.500).

The calculation puts the magnetic moment at 0.007 μB per atom.

# 4
Density functional theory data (PBE) for a relaxed structure of Tb5Si3.

The space group is I4/mcm (No. 140) and the conventional cell measures 11.473, 11.473 and 5.862 Å, with angles of 90.00, 90.00 and 90.00 degrees. The distinct sites, in fractional coordinates, are Tb at (0.000, 0.500, 0.250), Tb at (0.084, 0.212, 0.000), Si at (0.000, 0.000, 0.250) and Si at (0.159, 0.341, 0.500).

The value obtained for the energy above the most stable polymorph in this dataset is 58.2 meV per atom. The calculation puts the magnetic moment at 0.144 μB per atom.

# 5
Density functional theory data (PBE) for a relaxed structure of MgHgTeO.

The space group is P4/nmm (No. 129, origin choice 2) and the conventional cell measures 4.258, 4.258 and 10.682 Å, with angles of 90.00, 90.00 and 90.00 degrees. The distinct sites, in fractional coordinates, are Mg at (0.250, 0.250, 0.125), Hg at (0.250, 0.250, 0.576), Te at (0.250, 0.250, 0.853) and O at (0.250, 0.750, 0.500).

The value obtained for the energy above the most stable polymorph in this dataset is 796.3 meV per atom.

# 6
Density functional theory data (PBE) for a relaxed structure of GdHfCd2Au4.

The space group is P4/mmm (No. 123) and the conventional cell measures 4.866, 4.866 and 6.854 Å, with angles of 90.00, 90.00 and 90.00 degrees. The distinct sites, in fractional coordinates, are Gd at (0.000, 0.000, 0.000), Hf at (0.500, 0.500, 0.500), Cd at (0.000, 0.000, 0.500), Cd at (0.500, 0.500, 0.000) and Au at (0.000, 0.500, 0.266).

The formation energy from the elements is -4.35 eV/f.u. The calculation puts the magnetic moment at 0.000 μB per atom.

# 7
Density functional theory data (PBE) for a relaxed structure of CdTe.

The space group is P6_3mc (No. 186) and the conventional cell measures 4.6323, 4.6323 and 7.5862 Å, with angles of 90.00, 90.00 and 120.00 degrees. The distinct sites, in fractional coordinates, are Cd at (0.3333, 0.6667, 0.0000) and Te at (0.3333, 0.6667, 0.3750).

# 8
Density functional theory data (PBE) for a relaxed structure of KAlInAu.

The space group is F-43m (No. 216) and the conventional cell measures 7.334, 7.334 and 7.334 Å, with angles of 90.00, 90.00 and 90.00 degrees. The distinct sites, in fractional coordinates, are K at (0.000, 0.000, 0.000), Al at (0.250, 0.250, 0.250), In at (0.000, 0.000, 0.500) and Au at (0.250, 0.250, 0.750).

The value obtained for the energy above the most stable polymorph in this dataset is 19.7 meV per atom.

no.,DFT total energy (eV per atom)
1,-2.342
2,-4.864
3,-4.622
4,-5.542
5,-2.834
6,-4.227
7,-2.482
8,-2.591